Sc4TlZn2Ga: relaxed, PBE-GGA.

Lattice parameters (Å, degrees): 8.3701 8.3701 8.3701 33.52 33.52 33.52
Last column: nearest neighbours and their distance in Å.
Fractional positions:
Sc1 0.1202 0.1202 0.1202  1 Ga 2.85, 4 Zn 2.92-3.06, 3 Tl 3.00
Sc2 0.3708 0.3708 0.3708  4 Zn 2.87-3.00, 3 Ga 2.92, 1 Tl 3.06
Sc3 0.6292 0.6292 0.6292  4 Zn 2.87-3.00, 3 Ga 2.92, 1 Tl 3.06
Sc4 0.8798 0.8798 0.8798  1 Ga 2.85, 4 Zn 2.92-3.06, 3 Tl 3.00
Tl1 0.5000 0.5000 0.5000  8 Sc 3.00-3.06
Zn1 0.2495 0.2495 0.2495  8 Sc 2.87-3.06
Zn2 0.7505 0.7505 0.7505  8 Sc 2.87-3.06
Ga1 0.0000 0.0000 0.0000  8 Sc 2.85-2.92

Its total energy is -36.530 eV for the cell shown. The value obtained for the total moment is 0.0 Bohr magnetons per cell. The value obtained for the formation energy is -0.41 eV/atom.

LaSiSb: relaxed, PBE-GGA.

Lattice parameters (Å, degrees): 3.9164 3.9164 6.2986 90.00 90.00 120.00
Last column: nearest neighbours and their distance in Å.
Fractional positions:
La1 0.0000 0.0000 0.0000  3 Si 3.17, 3 Sb 3.47
Si1 0.6667 0.3333 0.6467  3 Sb 2.68
Sb1 0.3333 0.6667 0.4176  3 Si 2.68

Its total energy is -14.836 eV for the cell shown. Its polymorph energy (0 for the lowest one) is 621 meV/atom. The raw formation energy comes out at -0.1210 eV per atom. The value obtained for the total moment is 0.0 Bohr magnetons per cell.

EuSn4Hg: relaxed, PBE-GGA.

Lattice parameters (Å, degrees): 6.2422 6.2422 6.2422 60.00 60.00 60.00
Last column: nearest neighbours and their distance in Å.
Fractional positions:
Eu1 0.0000 0.0000 0.0000  12 Sn 3.66, 4 Hg 3.82
Sn1 0.3753 0.3753 0.3753  6 Sn 3.11-3.13
Sn2 0.3753 0.3753 0.8741  6 Sn 3.11-3.13
Sn3 0.3753 0.8741 0.3753  6 Sn 3.11-3.13
Sn4 0.8741 0.3753 0.3753  6 Sn 3.11-3.13
Hg1 0.7500 0.7500 0.7500  12 Sn 3.66, 4 Eu 3.82

Its total energy is -27.838 eV for the cell shown. The value obtained for the total moment is 6.9 Bohr magnetons per cell. The value obtained for the formation energy is -0.21 eV/atom.

K2RbPuBr5: relaxed, PBE-GGA.

Lattice parameters (Å, degrees): 9.4917 9.4917 9.4917 145.03 129.62 62.80
Last column: nearest neighbours and their distance in Å.
Fractional positions:
K1 0.2060 0.2060 0.0000  3 Br 3.27-3.34
K2 0.7940 0.7940 0.0000  3 Br 3.27-3.34
Rb1 0.5000 0.0000 0.5000  10 Br 4.04-4.12
Pu1 0.0000 0.5000 0.5000  6 Br 2.85-2.98
Br1 0.0000 0.0000 0.0000  2 Pu 2.85
Br2 0.1160 0.3652 0.7508  1 Pu 2.98, 1 K 3.27
Br3 0.3857 0.6348 0.7508  1 Pu 2.98, 1 K 3.27
Br4 0.6143 0.3652 0.2492  1 Pu 2.98, 1 K 3.27
Br5 0.8840 0.6348 0.2492  1 Pu 2.98, 1 K 3.27

Its total energy is -40.047 eV for the cell shown. The raw formation energy comes out at -1.5765 eV per atom. The value obtained for the total moment is 6.0 Bohr magnetons per cell.

PmMnSn2: relaxed, PBE-GGA.

Lattice parameters (Å, degrees): 4.6440 4.6440 4.4569 90.00 90.00 90.00
Last column: nearest neighbours and their distance in Å.
Fractional positions:
Pm1 0.0000 0.0000 0.0000  8 Sn 3.22, 4 Mn 3.28
Mn1 0.5000 0.5000 0.0000  8 Sn 3.22, 4 Pm 3.28
Sn1 0.0000 0.5000 0.5000  4 Mn 3.22, 4 Pm 3.22, 4 Sn 3.28
Sn2 0.5000 0.0000 0.5000  4 Mn 3.22, 4 Pm 3.22, 4 Sn 3.28

Its total energy is -22.929 eV for the cell shown. Its polymorph energy (0 for the lowest one) is 64 meV/atom. The value obtained for the total moment is 4.0 Bohr magnetons per cell. The value obtained for the formation energy is -0.25 eV/atom.

Nd6ZnHg2: relaxed, PBE-GGA.

Lattice parameters (Å, degrees): 8.9940 8.9940 5.2107 106.66 106.66 48.48
Last column: nearest neighbours and their distance in Å.
Fractional positions:
Nd1 0.0821 0.5916 0.3372  1 Zn 3.12, 3 Hg 3.21-3.22
Nd2 0.2380 0.7620 0.0000  2 Zn 3.14, 2 Hg 3.23, 1 Nd 3.51
Nd3 0.4084 0.9179 0.6628  1 Zn 3.12, 3 Hg 3.21-3.22
Nd4 0.5916 0.0821 0.3372  1 Zn 3.12, 3 Hg 3.21-3.22
Nd5 0.7620 0.2380 0.0000  2 Zn 3.14, 2 Hg 3.23, 1 Nd 3.51
Nd6 0.9179 0.4084 0.6628  1 Zn 3.12, 3 Hg 3.21-3.22
Zn1 0.0000 0.0000 0.5000  8 Nd 3.12-3.14
Hg1 0.3339 0.3339 0.8344  8 Nd 3.21-3.23
Hg2 0.6661 0.6661 0.1656  8 Nd 3.21-3.23

Its total energy is -30.974 eV for the cell shown. The value obtained for the total moment is 0.0 Bohr magnetons per cell. The value obtained for the formation energy is -0.05 eV/atom.

SrAlCo2: relaxed, PBE-GGA.

Lattice parameters (Å, degrees): 4.5334 4.5334 3.1655 90.00 90.00 90.00
Last column: nearest neighbours and their distance in Å.
Fractional positions:
Sr1 0.0000 0.0000 0.0000  8 Co 2.76
Al1 0.5000 0.5000 0.0000  8 Co 2.76
Co1 0.0000 0.5000 0.5000  4 Al 2.76, 4 Sr 2.76
Co2 0.5000 0.0000 0.5000  4 Al 2.76, 4 Sr 2.76

Its total energy is -17.751 eV for the cell shown. The value obtained for the total moment is 0.0 Bohr magnetons per cell. The value obtained for the formation energy is 0.47 eV/atom.

BeCrFe2: relaxed, PBE-GGA.

Lattice parameters (Å, degrees): 8.0546 8.0546 8.0546 17.61 17.61 17.61
Last column: nearest neighbours and their distance in Å.
Fractional positions:
Be1 0.0000 0.0000 0.0000  3 Fe 2.35, 6 Be 2.47, 3 Cr 2.48
Cr1 0.7520 0.7520 0.7520  3 Fe 2.44, 6 Cr 2.47, 3 Be 2.48
Fe1 0.2549 0.2549 0.2549  3 Be 2.35, 9 Fe 2.47-2.50
Fe2 0.5019 0.5019 0.5019  3 Cr 2.44, 9 Fe 2.47-2.50

Its total energy is -29.776 eV for the cell shown. The value obtained for the total moment is 2.0 Bohr magnetons per cell. The value obtained for the formation energy is 0.12 eV/atom.

Q: Which value of total energy does entry 8 give?
A: -29.776 eV for the cell shown

Q: Among the records above, which one has the highest total energy?
A: LaSiSb

Q: total energy of number 1 (Sc4TlZn2Ga)?
A: -36.530 eV for the cell shown